Entry 1:
4
Lattice="4.962 0.000 0.000 0.000 4.962 0.000 0.000 0.000 3.076" Properties=species:S:1:pos:R:3 comment="Li2BiH (PBE, relaxed)" polymorph_energy_mev_per_atom=374 dos_ef_per_ev_cell=0.62 space_group="P4/mmm, No. 123" volume_a3_per_atom=18.94 pbc="T T T"
Li 0.000 2.481 0.000
Li 2.481 0.000 0.000
Bi 0.000 0.000 1.538
H 2.481 2.481 1.538



Entry 2:
4
Lattice="3.152 0.000 0.000 0.000 3.152 0.000 0.000 0.000 7.288" Properties=species:S:1:pos:R:3 comment="Li2BiH (PBE, relaxed)" polymorph_energy_mev_per_atom=201 dos_ef_per_ev_cell=0.82 space_group="P4/mmm, No. 123" volume_a3_per_atom=18.10 pbc="T T T"
Li 0.000 0.000 1.375
Li 0.000 0.000 5.913
Bi 1.576 1.576 3.644
H 1.576 1.576 0.000



Entry 3:
10
Lattice="5.977 -2.428 0.000 5.977 2.428 0.000 -1.511 0.000 5.972" Properties=species:S:1:pos:R:3 comment="Li3BiH (PBE, relaxed)" polymorph_energy_mev_per_atom=29 dos_ef_per_ev_cell=0.30 space_group="C2/m, No. 12" volume_a3_per_atom=17.33 pbc="T T T"
Li 0.271 0.000 2.198
Li 0.477 0.000 5.728
Li 4.180 0.000 1.916
Li 6.264 0.000 4.056
Li 9.967 0.000 0.244
Li 10.173 0.000 3.774
Bi 3.287 0.000 4.908
Bi 7.157 0.000 1.065
H 0.078 0.000 3.992
H 10.366 0.000 1.980



Entry 4:
4
Lattice="0.000 3.260 3.260 3.260 0.000 3.260 3.260 3.260 0.000" Properties=species:S:1:pos:R:3 comment="Li2BiH (PBE, relaxed)" polymorph_energy_mev_per_atom=496 dos_ef_per_ev_cell=2.05 space_group="Fm-3m, No. 225" volume_a3_per_atom=17.32 pbc="T T T"
Li 1.630 1.630 1.630
Li 4.890 4.890 4.890
Bi 0.000 0.000 0.000
H 3.260 3.260 3.260